Density functional theory data (GGA+U) for a geometry-optimized NdV2PbO8 structure.

Values from the calculation:
As for the space group: P-3m1. Its total energy is -7.219 eV/atom.

Unit cell a=5.924 b=5.924 c=6.854 alpha=90.00 beta=90.00 gamma=120.00
Positions (direct):
Nd: 0.000 0.000 0.000
V: 0.333 0.667 0.319
V: 0.667 0.333 0.681
Pb: 0.000 0.000 0.500
O: 0.167 0.334 0.240
O: 0.167 0.833 0.240
O: 0.333 0.667 0.559
O: 0.334 0.167 0.760
O: 0.666 0.833 0.240
O: 0.667 0.333 0.441
O: 0.833 0.167 0.760
O: 0.833 0.666 0.760